Material: CaCoHgF6
Method: DFT, GGA+U
State: optimized geometry

```
CaCoHgF6
1.0
5.712 0.000 0.000
-2.856 4.947 0.000
0.000 0.000 9.551
Ca Co Hg F
2 2 2 12
Direct
0.000 0.000 0.000 Ca
0.000 0.000 0.500 Ca
0.333 0.667 0.250 Co
0.667 0.333 0.750 Co
0.333 0.667 0.750 Hg
0.667 0.333 0.250 Hg
0.037 0.356 0.132 F
0.037 0.681 0.368 F
0.319 0.356 0.368 F
0.319 0.963 0.132 F
0.356 0.037 0.632 F
0.356 0.319 0.868 F
0.644 0.681 0.132 F
0.644 0.963 0.368 F
0.681 0.037 0.868 F
0.681 0.644 0.632 F
0.963 0.319 0.632 F
0.963 0.644 0.868 F
```

Properties
N(E_F) = 0.00 states/eV/cell
total magnetic moment = 6.00 μB per cell
final energy = -4.5410 eV per atom
mass density = 5.09 g/cm³